Compound: CaNi3C
Source: the Alexandria database
Functional: GGA-PBEsol
Structure: optimized geometry

Cell lengths 3.890, 3.890, 3.890 Å; angles 90.00, 90.00, 90.00 degrees
Space group Pm-3m (No. 221)
Inequivalent atoms, fractional coordinates:
Ca 0.000 0.000 0.000 (multiplicity 1)
Ni 0.000 0.500 0.500 (multiplicity 3)
C 0.500 0.500 0.500 (multiplicity 1)

Summary:
ΔH_f (0 K) = -0.0521 eV/atom